1.
# HoLuTeC

HoLuTeC after structural relaxation (GGA-PBE, the Open Quantum Materials Database). Values from VASP.

Cell and atoms, written as Quantum ESPRESSO input:
```
&SYSTEM
  ibrav = 0, nat = 8, ntyp = 4
/
ATOMIC_SPECIES
Lu 174.97 Lu.upf
Ho 164.93 Ho.upf
C 12.01 C.upf
Te 127.60 Te.upf
CELL_PARAMETERS angstrom
-1.745 3.254 -0.789
-1.466 -3.267 -1.197
-7.247 -1.045 11.728
ATOMIC_POSITIONS crystal
Lu 0.667 0.333 0.591
Lu 0.333 0.667 0.409
Ho 0.667 0.333 0.906
Ho 0.333 0.667 0.094
C 0.000 0.000 0.500
C 0.000 0.000 0.000
Te 0.333 0.667 0.746
Te 0.667 0.333 0.254
```

Space-group type: No. 164

***

2.
# HoLuTeC

HoLuTeC after structural relaxation (GGA-PBE, the Open Quantum Materials Database). Values from VASP.

Cell and atoms, written as Quantum ESPRESSO input:
```
&SYSTEM
  ibrav = 0, nat = 8, ntyp = 4
/
ATOMIC_SPECIES
Lu 174.97 Lu.upf
C 12.01 C.upf
Te 127.60 Te.upf
Ho 164.93 Ho.upf
CELL_PARAMETERS angstrom
3.776 0.000 0.000
-1.888 3.270 0.000
0.000 0.000 13.832
ATOMIC_POSITIONS crystal
Lu 0.333 0.667 0.345
Lu 0.333 0.667 0.655
C 0.000 0.000 0.745
C 0.000 0.000 0.255
Te 0.333 0.667 0.000
Te 0.667 0.333 0.500
Ho 0.667 0.333 0.160
Ho 0.667 0.333 0.840
```

Space-group type: No. 187

***

3.
# HoLuTeC

HoLuTeC after structural relaxation (GGA-PBE, the Open Quantum Materials Database). Values from VASP.

Cell and atoms, written as Quantum ESPRESSO input:
```
&SYSTEM
  ibrav = 0, nat = 8, ntyp = 4
/
ATOMIC_SPECIES
Lu 174.97 Lu.upf
Te 127.60 Te.upf
C 12.01 C.upf
Ho 164.93 Ho.upf
CELL_PARAMETERS angstrom
3.777 0.000 0.000
-1.889 3.271 0.000
0.000 0.000 13.820
ATOMIC_POSITIONS crystal
Lu 0.333 0.667 0.093
Lu 0.667 0.333 0.593
Te 0.333 0.667 0.748
Te 0.667 0.333 0.248
C 0.000 0.000 0.002
C 0.000 0.000 0.502
Ho 0.667 0.333 0.908
Ho 0.333 0.667 0.408
```

Space-group type: No. 186

***

4.
# HoLu3Tl2C2

HoLu3Tl2C2 after structural relaxation (GGA-PBE, the Open Quantum Materials Database). Values from VASP.

Cell and atoms, written as Quantum ESPRESSO input:
```
&SYSTEM
  ibrav = 0, nat = 8, ntyp = 4
/
ATOMIC_SPECIES
C 12.01 C.upf
Tl 204.38 Tl.upf
Lu 174.97 Lu.upf
Ho 164.93 Ho.upf
CELL_PARAMETERS angstrom
3.545 0.000 0.000
-1.772 3.070 0.000
0.000 0.000 15.971
ATOMIC_POSITIONS crystal
C 0.333 0.667 0.500
C 0.333 0.667 0.002
Tl 0.000 0.000 0.250
Tl 0.667 0.333 0.748
Lu 0.667 0.333 0.418
Lu 0.000 0.000 0.581
Lu 0.667 0.333 0.084
Ho 0.000 0.000 0.917
```

Space-group type: No. 156

***

5.
# HoLuTlC

HoLuTlC after structural relaxation (GGA-PBE, the Open Quantum Materials Database). Values from VASP.

Cell and atoms, written as Quantum ESPRESSO input:
```
&SYSTEM
  ibrav = 0, nat = 8, ntyp = 4
/
ATOMIC_SPECIES
Tl 204.38 Tl.upf
Ho 164.93 Ho.upf
C 12.01 C.upf
Lu 174.97 Lu.upf
CELL_PARAMETERS angstrom
3.562 0.000 0.000
-1.781 3.085 0.000
0.000 0.000 16.038
ATOMIC_POSITIONS crystal
Tl 0.333 0.667 0.000
Tl 0.667 0.333 0.500
Ho 0.667 0.333 0.830
Ho 0.667 0.333 0.170
C 0.000 0.000 0.747
C 0.000 0.000 0.253
Lu 0.333 0.667 0.335
Lu 0.333 0.667 0.665
```

Space-group type: No. 187

***

6.
# HoLuTlC

HoLuTlC after structural relaxation (GGA-PBE, the Open Quantum Materials Database). Values from VASP.

Cell and atoms, written as Quantum ESPRESSO input:
```
&SYSTEM
  ibrav = 0, nat = 8, ntyp = 4
/
ATOMIC_SPECIES
Ho 164.93 Ho.upf
Tl 204.38 Tl.upf
C 12.01 C.upf
Lu 174.97 Lu.upf
CELL_PARAMETERS angstrom
-0.685 1.818 -2.984
0.291 -3.547 -0.103
-15.769 -1.375 2.784
ATOMIC_POSITIONS crystal
Ho 0.333 0.667 0.416
Ho 0.667 0.333 0.584
Tl 0.667 0.333 0.248
Tl 0.333 0.667 0.752
C 0.000 0.000 0.000
C 0.000 0.000 0.500
Lu 0.333 0.667 0.081
Lu 0.667 0.333 0.919
```

Space-group type: No. 164

***

7.
# HoLuTlC

HoLuTlC after structural relaxation (GGA-PBE, the Open Quantum Materials Database). Values from VASP.

Cell and atoms, written as Quantum ESPRESSO input:
```
&SYSTEM
  ibrav = 0, nat = 8, ntyp = 4
/
ATOMIC_SPECIES
Tl 204.38 Tl.upf
Lu 174.97 Lu.upf
Ho 164.93 Ho.upf
C 12.01 C.upf
CELL_PARAMETERS angstrom
-1.368 3.104 1.084
-1.545 -1.794 -2.660
-9.229 -7.769 10.598
ATOMIC_POSITIONS crystal
Tl 0.667 0.333 0.249
Tl 0.333 0.667 0.749
Lu 0.333 0.667 0.083
Lu 0.667 0.333 0.583
Ho 0.667 0.333 0.918
Ho 0.333 0.667 0.418
C 0.000 0.000 0.501
C 0.000 0.000 0.001
```

Space-group type: No. 186

***

8.
# Ho2Mo2C3

Ho2Mo2C3 after structural relaxation (GGA-PBE, the Open Quantum Materials Database). Values from VASP.

Cell and atoms, written as Quantum ESPRESSO input:
```
&SYSTEM
  ibrav = 0, nat = 7, ntyp = 3
/
ATOMIC_SPECIES
Ho 164.93 Ho.upf
Mo 95.94 Mo.upf
C 12.01 C.upf
CELL_PARAMETERS angstrom
-0.413 -3.074 1.338
5.488 -0.100 1.462
-2.723 3.791 3.604
ATOMIC_POSITIONS crystal
Ho 0.386 0.180 0.771
Ho 0.614 0.820 0.229
Mo 0.850 0.628 0.701
Mo 0.150 0.372 0.299
C 0.271 0.744 0.542
C 0.000 0.500 0.000
C 0.729 0.256 0.458
```

Space-group type: No. 12

***

9.
# NdHoSi2Mo2C

NdHoSi2Mo2C after structural relaxation (GGA-PBE, the Open Quantum Materials Database). Values from VASP.

Cell and atoms, written as Quantum ESPRESSO input:
```
&SYSTEM
  ibrav = 0, nat = 7, ntyp = 5
/
ATOMIC_SPECIES
Nd 144.24 Nd.upf
Si 28.09 Si.upf
Mo 95.94 Mo.upf
Ho 164.93 Ho.upf
C 12.01 C.upf
CELL_PARAMETERS angstrom
-2.181 4.761 2.757
-3.322 1.585 4.635
6.891 -2.144 0.559
ATOMIC_POSITIONS crystal
Nd 0.423 0.423 0.699
Si 0.132 0.132 0.666
Si 0.867 0.867 0.329
Mo 0.795 0.795 0.919
Mo 0.206 0.206 0.083
Ho 0.573 0.573 0.294
C 0.003 0.003 0.009
```

Space-group type: No. 8

***

10.
# PrHoSi2Mo2C

PrHoSi2Mo2C after structural relaxation (GGA-PBE, the Open Quantum Materials Database). Values from VASP.

Cell and atoms, written as Quantum ESPRESSO input:
```
&SYSTEM
  ibrav = 0, nat = 7, ntyp = 5
/
ATOMIC_SPECIES
Si 28.09 Si.upf
Mo 95.94 Mo.upf
C 12.01 C.upf
Pr 140.91 Pr.upf
Ho 164.93 Ho.upf
CELL_PARAMETERS angstrom
-1.501 -5.443 1.813
-0.423 -5.598 -1.909
6.295 3.212 1.690
ATOMIC_POSITIONS crystal
Si 0.133 0.133 0.672
Si 0.867 0.867 0.334
Mo 0.793 0.793 0.917
Mo 0.205 0.205 0.080
C 0.997 0.997 0.989
Pr 0.577 0.577 0.302
Ho 0.427 0.427 0.706
```

Space-group type: No. 8

***

11.
# HoScMo2C3

HoScMo2C3 after structural relaxation (GGA-PBE, the Open Quantum Materials Database). Values from VASP.

Cell and atoms, written as Quantum ESPRESSO input:
```
&SYSTEM
  ibrav = 0, nat = 7, ntyp = 4
/
ATOMIC_SPECIES
C 12.01 C.upf
Mo 95.94 Mo.upf
Ho 164.93 Ho.upf
Sc 44.96 Sc.upf
CELL_PARAMETERS angstrom
5.612 -1.660 0.000
5.612 1.660 0.000
-1.869 0.000 5.245
ATOMIC_POSITIONS crystal
C 0.734 0.734 0.756
C 0.997 0.997 0.986
C 0.273 0.273 0.254
Mo 0.853 0.853 0.135
Mo 0.147 0.147 0.864
Ho 0.615 0.615 0.319
Sc 0.380 0.380 0.686
```

Space-group type: No. 8

***

12.
# Ho2SiMo2C2

Ho2SiMo2C2 after structural relaxation (GGA-PBE, the Open Quantum Materials Database). Values from VASP.

Cell and atoms, written as Quantum ESPRESSO input:
```
&SYSTEM
  ibrav = 0, nat = 7, ntyp = 4
/
ATOMIC_SPECIES
C 12.01 C.upf
Mo 95.94 Mo.upf
Ho 164.93 Ho.upf
Si 28.09 Si.upf
CELL_PARAMETERS angstrom
-4.738 -3.852 3.534
-5.075 -4.883 0.418
5.298 -2.324 0.196
ATOMIC_POSITIONS crystal
C 0.249 0.249 0.743
C 0.751 0.751 0.257
Mo 0.173 0.173 0.339
Mo 0.827 0.827 0.661
Ho 0.368 0.368 0.190
Ho 0.632 0.632 0.810
Si 0.000 0.000 0.000
```

Space-group type: No. 12

***

13.
# Ho2Si2MoWC

Ho2Si2MoWC after structural relaxation (GGA-PBE, the Open Quantum Materials Database). Values from VASP.

Cell and atoms, written as Quantum ESPRESSO input:
```
&SYSTEM
  ibrav = 0, nat = 7, ntyp = 5
/
ATOMIC_SPECIES
W 183.84 W.upf
Ho 164.93 Ho.upf
Mo 95.94 Mo.upf
Si 28.09 Si.upf
C 12.01 C.upf
CELL_PARAMETERS angstrom
5.555 -1.903 0.000
5.555 1.903 0.000
-4.125 0.000 5.797
ATOMIC_POSITIONS crystal
W 0.793 0.793 0.916
Ho 0.575 0.575 0.295
Ho 0.426 0.426 0.705
Mo 0.207 0.207 0.085
Si 0.869 0.869 0.339
Si 0.132 0.132 0.661
C 0.999 0.999 0.000
```

Space-group type: No. 8

***

14.
# Ho2TmMoC3

Ho2TmMoC3 after structural relaxation (GGA-PBE, the Open Quantum Materials Database). Values from VASP.

Cell and atoms, written as Quantum ESPRESSO input:
```
&SYSTEM
  ibrav = 0, nat = 7, ntyp = 4
/
ATOMIC_SPECIES
Ho 164.93 Ho.upf
C 12.01 C.upf
Mo 95.94 Mo.upf
Tm 168.93 Tm.upf
CELL_PARAMETERS angstrom
6.132 -1.754 0.000
6.132 1.754 0.000
-2.326 0.000 5.297
ATOMIC_POSITIONS crystal
Ho 0.625 0.625 0.298
Ho 0.379 0.379 0.703
C 0.714 0.714 0.764
C 0.003 0.003 0.958
C 0.258 0.258 0.239
Mo 0.149 0.149 0.858
Tm 0.872 0.872 0.180
```

Space-group type: No. 8

***

15.
# Ho2MoWC3

Ho2MoWC3 after structural relaxation (GGA-PBE, the Open Quantum Materials Database). Values from VASP.

Cell and atoms, written as Quantum ESPRESSO input:
```
&SYSTEM
  ibrav = 0, nat = 7, ntyp = 4
/
ATOMIC_SPECIES
C 12.01 C.upf
Ho 164.93 Ho.upf
W 183.84 W.upf
Mo 95.94 Mo.upf
CELL_PARAMETERS angstrom
-0.124 5.272 -2.663
-3.202 3.942 -3.018
-1.012 0.870 5.513
ATOMIC_POSITIONS crystal
C 0.271 0.271 0.243
C 0.731 0.731 0.758
C 0.000 0.000 0.002
Ho 0.386 0.386 0.679
Ho 0.615 0.615 0.321
W 0.850 0.850 0.128
Mo 0.148 0.148 0.870
```

Space-group type: No. 8

***

16.
# YHoMo2C3

YHoMo2C3 after structural relaxation (GGA-PBE, the Open Quantum Materials Database). Values from VASP.

Cell and atoms, written as Quantum ESPRESSO input:
```
&SYSTEM
  ibrav = 0, nat = 7, ntyp = 4
/
ATOMIC_SPECIES
Ho 164.93 Ho.upf
Mo 95.94 Mo.upf
C 12.01 C.upf
Y 88.91 Y.upf
CELL_PARAMETERS angstrom
5.664 -1.695 0.000
5.664 1.695 0.000
-1.747 0.000 5.416
ATOMIC_POSITIONS crystal
Ho 0.614 0.614 0.321
Mo 0.850 0.850 0.126
Mo 0.150 0.150 0.874
C 0.001 0.001 0.002
C 0.271 0.271 0.242
C 0.728 0.728 0.757
Y 0.386 0.386 0.678
```

Space-group type: No. 8

***

17.
# Ho2CN2

Ho2CN2 after structural relaxation (GGA-PBE, the Open Quantum Materials Database). Values from VASP.

Cell and atoms, written as Quantum ESPRESSO input:
```
&SYSTEM
  ibrav = 0, nat = 5, ntyp = 3
/
ATOMIC_SPECIES
Ho 164.93 Ho.upf
N 14.01 N.upf
C 12.01 C.upf
CELL_PARAMETERS angstrom
3.956 0.000 0.000
-1.978 3.426 0.000
0.000 0.000 5.152
ATOMIC_POSITIONS crystal
Ho 0.667 0.333 0.752
Ho 0.333 0.667 0.248
N 0.333 0.667 0.707
N 0.667 0.333 0.293
C 0.000 0.000 0.000
```

Space-group type: No. 164

***

18.
# HoNbCN2O2

HoNbCN2O2 after structural relaxation (GGA-PBE, the Open Quantum Materials Database). Values from VASP.

Cell and atoms, written as Quantum ESPRESSO input:
```
&SYSTEM
  ibrav = 0, nat = 7, ntyp = 5
/
ATOMIC_SPECIES
O 16.00 O.upf
Ho 164.93 Ho.upf
Nb 92.91 Nb.upf
C 12.01 C.upf
N 14.01 N.upf
CELL_PARAMETERS angstrom
3.578 0.000 0.000
-1.789 3.098 0.000
0.000 0.000 8.056
ATOMIC_POSITIONS crystal
O 0.333 0.667 0.608
O 0.667 0.333 0.405
Ho 0.333 0.667 0.323
Nb 0.667 0.333 0.678
C 0.000 0.000 0.995
N 0.000 0.000 0.149
N 0.000 0.000 0.842
```

Space-group type: No. 156

***

19.
# NdHoCN2O2

NdHoCN2O2 after structural relaxation (GGA-PBE, the Open Quantum Materials Database). Values from VASP.

Cell and atoms, written as Quantum ESPRESSO input:
```
&SYSTEM
  ibrav = 0, nat = 7, ntyp = 5
/
ATOMIC_SPECIES
N 14.01 N.upf
O 16.00 O.upf
C 12.01 C.upf
Nd 144.24 Nd.upf
Ho 164.93 Ho.upf
CELL_PARAMETERS angstrom
-1.050 -3.622 -0.315
0.359 1.575 3.422
-7.884 2.306 -0.235
ATOMIC_POSITIONS crystal
N 0.000 0.000 0.854
N 0.000 0.000 0.155
O 0.333 0.667 0.595
O 0.667 0.333 0.389
C 0.000 0.000 0.005
Nd 0.667 0.333 0.680
Ho 0.333 0.667 0.323
```

Space-group type: No. 156

***

20.
# TbHoNi2C2N2

TbHoNi2C2N2 after structural relaxation (GGA-PBE, the Open Quantum Materials Database). Values from VASP.

Cell and atoms, written as Quantum ESPRESSO input:
```
&SYSTEM
  ibrav = 0, nat = 8, ntyp = 5
/
ATOMIC_SPECIES
Ni 58.69 Ni.upf
Tb 158.93 Tb.upf
N 14.01 N.upf
C 12.01 C.upf
Ho 164.93 Ho.upf
CELL_PARAMETERS angstrom
3.456 0.000 0.000
0.000 3.456 0.000
0.000 0.000 7.317
ATOMIC_POSITIONS crystal
Ni 0.000 0.500 0.499
Ni 0.500 0.000 0.499
Tb 0.500 0.500 0.827
N 0.000 0.000 0.854
N 0.500 0.500 0.148
C 0.000 0.000 0.662
C 0.500 0.500 0.340
Ho 0.000 0.000 0.172
```

Space-group type: No. 99

***

| no. | energy (eV per atom) | theoretical density (kg/m3) |
| --- | --- | --- |
| 1 | -6.250 | 9328 |
| 2 | -6.250 | 9324 |
| 3 | -6.250 | 9325 |
| 4 | -5.593 | 10727 |
| 5 | -5.585 | 10482 |
| 6 | -5.584 | 10472 |
| 7 | -5.584 | 10476 |
| 8 | -8.695 | 8997 |
| 9 | -7.861 | 7453 |
| 10 | -7.849 | 7345 |
| 11 | -8.954 | 7438 |
| 12 | -8.123 | 7897 |
| 13 | -8.148 | 9182 |
| 14 | -7.700 | 9191 |
| 15 | -8.991 | 10414 |
| 16 | -8.958 | 7694 |
| 17 | -7.116 | 8796 |
| 18 | -8.693 | 6133 |
| 19 | -8.568 | 6212 |
| 20 | -7.576 | 9372 |